Record 1
Computed, not measured: a geometry-optimized ZrOsRh2 structure at the PBE level of DFT.

POSCAR file:
```
ZrOsRh2
1.0
2.534 -3.660 -0.742
1.956 -2.130 3.465
-1.482 -4.067 1.275
Rh Os Zr
2 1 1
direct
0.750 0.750 0.750
0.250 0.250 0.250
0.500 0.500 0.500
0.000 0.000 0.000
```

SG = No. 225
calculated total energy = -34.59 eV for the cell shown
calculated volume = 65 Å³/f.u.
ΔE_f = -11 kJ/mol of formula units

***

Record 2
Computed, not measured: a geometry-optimized Zr5OsRh4 structure at the PBE level of DFT.

POSCAR file:
```
Zr5OsRh4
1.0
-2.252 0.980 -2.188
0.761 -2.554 -1.928
-11.448 -9.194 7.666
Zr Os Rh
5 1 4
direct
0.500 0.500 0.900
0.500 0.500 0.100
0.500 0.500 0.300
0.500 0.500 0.700
0.500 0.500 0.500
0.000 0.000 0.000
0.000 0.000 0.600
0.000 0.000 0.200
0.000 0.000 0.800
0.000 0.000 0.400
```

SG = No. 123
calculated total energy = -90.51 eV for the cell shown
calculated volume = 179 Å³/f.u.
ΔE_f = -689 kJ/mol of formula units

***

Record 3
Computed, not measured: a geometry-optimized ZrOsRh2 structure at the PBE level of DFT.

POSCAR file:
```
ZrOsRh2
1.0
-2.228 -1.678 -0.566
1.701 -1.774 -1.436
1.366 -4.042 6.611
Rh Zr Os
2 1 1
direct
0.500 0.500 0.238
0.000 0.000 0.993
0.000 0.000 0.494
0.500 0.500 0.774
```

SG = No. 99
calculated total energy = -34.96 eV for the cell shown
calculated volume = 64 Å³/f.u.
ΔE_f = -46 kJ/mol of formula units

***

Record 4
Computed, not measured: a geometry-optimized ZrOsRh structure at the PBE level of DFT.

POSCAR file:
```
ZrOsRh
1.0
-1.894 2.796 3.982
-0.472 -1.525 4.971
3.320 0.170 -4.026
Zr Rh Os
1 1 1
direct
0.666 0.666 0.000
0.328 0.328 0.000
0.007 0.007 0.000
```

SG = No. 107
calculated total energy = -27.33 eV for the cell shown
calculated volume = 51 Å³/f.u.
ΔE_f = -20 kJ/mol of formula units